# 1
A geometry-optimized Na3NpU2Te6 structure. Source: Alexandria via LeMat-Bulk, functional PBE.

abc: 7.6590 7.6590 8.0384
angles: 99.14 99.14 120.00
Fractional positions:
Na 0.1665 0.8335 0.5000
Na 0.8335 0.1665 0.5000
Na 0.5000 0.5000 0.5000
Np 0.0000 0.0000 0.0000
U 0.3334 0.6666 0.0000
U 0.6666 0.3334 0.0000
Te 0.9211 0.5861 0.7633
Te 0.7441 0.7441 0.2370
Te 0.0789 0.4139 0.2367
Te 0.5861 0.9211 0.7633
Te 0.2559 0.2559 0.7630
Te 0.4139 0.0789 0.2367

Calculated values
The space-group type is C2/m. Its density of states at the Fermi level is 22.076 states/eV/f.u. The value obtained for the calculated volume is 32.27 A^3/atom. The raw formation energy comes out at -0.79 eV/atom.

---

# 2
A geometry-optimized Ti2NiMo structure. Source: Alexandria via LeMat-Bulk, functional PBE.

abc: 4.3588 4.3588 4.3588
angles: 60.00 60.00 60.00
Fractional positions:
Ni 0.0000 0.0000 0.0000
Mo 0.5000 0.5000 0.5000
Ti 0.2500 0.2500 0.2500
Ti 0.7500 0.7500 0.7500

Calculated values
The space-group type is Fm-3m. Its density of states at the Fermi level is 1.784 states/eV/f.u. The value obtained for the calculated volume is 14.64 A^3/atom. The electronic total energy is -33.556 eV per formula unit.

---

# 3
A geometry-optimized FeSiAu structure. Source: Alexandria via LeMat-Bulk, functional PBE.

abc: 5.2573 5.2573 5.2573
angles: 147.82 147.81 46.16
Fractional positions:
Au 0.9963 0.9963 0.0000
Fe 0.7007 0.7007 0.0000
Si 0.3030 0.3030 0.0000

Calculated values
The space-group type is I4mm. Its density of states at the Fermi level is 2.673 states/eV/f.u. The value obtained for the calculated volume is 13.69 A^3/atom. The raw formation energy comes out at 0.06 eV/atom.